Below is Tm3CuGe3 after structural relaxation, with properties calculated at the GGA-PBE level.

E: -68.61 eV per cell
excess energy over the best structure of this formula in the dataset: 332 meV/atom
energy of formation: -420.6 meV per atom

```
14
Lattice="8.385 0.000 0.000 -4.192 7.262 0.000 0.000 0.000 5.704" Properties=species:S:1:pos:R:3 pbc="T T T"
Tm -1.054 2.664 1.426
Tm -1.358 6.843 1.426
Tm 1.780 2.245 4.278
Tm 2.413 5.017 1.426
Tm 5.551 0.419 4.278
Tm 5.247 4.598 4.278
Cu 0.000 4.841 4.278
Cu 4.193 2.421 1.426
Ge -1.046 2.620 4.278
Ge -1.400 6.858 4.278
Ge 1.746 2.216 1.426
Ge 2.446 5.045 4.278
Ge 5.592 0.404 1.426
Ge 5.239 4.641 1.426
```